## CdGaPb3 (PBE-GGA)

Data for an optimized crystal structure of CdGaPb3.

Cell: 5.536 5.536 5.536 Å, 90.00 90.00 90.00°
Atoms (fractional coordinates):
Cd1 0.000 0.000 0.000
Ga1 0.500 0.500 0.500
Pb1 0.000 0.500 0.500
Pb2 0.500 0.000 0.500
Pb3 0.500 0.500 0.000

Summary:
Crystal system ... cubic
Energy relative to the elements ... 1.84 eV/f.u.
Total energy ... -2.644 eV/atom